Density functional theory data (GGA+U) for a geometry-optimized Li4Fe3Cu3W2O16 structure.

Calculated values
Fermi-level density of states   7.196 states/eV/f.u.
Crystal system   monoclinic
Electronic total energy   -6.199 eV per atom

Unit cell a=10.457 b=5.893 c=9.882 alpha=90.00 beta=93.84 gamma=90.00
Space group Cm (No. 8)
Unique sites:
Li 0.000 0.000 0.000 [2 per cell]
Li 0.015 0.000 0.504 [2 per cell]
Li 0.165 0.500 0.931 [2 per cell]
Li 0.351 0.000 0.430 [2 per cell]
Fe 0.101 0.254 0.234 [4 per cell]
Fe 0.182 0.000 0.736 [2 per cell]
Cu 0.344 0.500 0.228 [2 per cell]
Cu 0.428 0.246 0.730 [4 per cell]
W 0.187 0.500 0.504 [2 per cell]
W 0.333 0.000 0.007 [2 per cell]
O 0.011 0.000 0.812 [2 per cell]
O 0.012 0.000 0.316 [2 per cell]
O 0.035 0.500 0.365 [2 per cell]
O 0.118 0.255 0.601 [4 per cell]
O 0.178 0.500 0.132 [2 per cell]
O 0.187 0.000 0.120 [2 per cell]
O 0.252 0.219 0.882 [4 per cell]
O 0.253 0.274 0.372 [4 per cell]
O 0.346 0.000 0.637 [2 per cell]
O 0.355 0.500 0.605 [2 per cell]
O 0.433 0.236 0.100 [4 per cell]
O 0.478 0.000 0.864 [2 per cell]